Pm4PrDy2Ho | PBE | optimized geometry

```
data_Pm4PrDy2Ho
_chemical_formula_sum 'Pm8 Pr2 Dy4 Ho2'
_symmetry_space_group_name_H-M 'P 1'
_symmetry_Int_Tables_number 1
_cell_length_a 9.572
_cell_length_b 9.572
_cell_length_c 11.890
_cell_angle_alpha 128.38
_cell_angle_beta 128.38
_cell_angle_gamma 88.30
loop_
_symmetry_equiv_pos_as_xyz
'x,y,z'
loop_
_atom_site_label
_atom_site_type_symbol
_atom_site_fract_x
_atom_site_fract_y
_atom_site_fract_z
Pm1 Pm 0.249 0.750 0.000
Pm2 Pm 0.750 0.251 0.500
Pm3 Pm 0.250 0.749 0.500
Pm4 Pm 0.751 0.250 0.000
Pm5 Pm 0.730 0.734 0.982
Pm6 Pm 0.766 0.770 0.518
Pm7 Pm 0.234 0.230 0.482
Pm8 Pm 0.270 0.266 0.018
Pr1 Pr 0.000 0.500 0.000
Pr2 Pr 0.000 0.500 0.500
Dy1 Dy 0.500 0.000 0.000
Dy2 Dy 0.500 0.000 0.500
Dy3 Dy 0.000 0.000 0.500
Dy4 Dy 0.500 0.500 0.000
Ho1 Ho 0.500 0.500 0.500
Ho2 Ho 0.000 0.000 0.000
```

Computed properties:
For the total energy, the calculation gives -34.39 eV per formula unit. The calculation puts the total magnetization at 0.1 Bohr magnetons per cell.